(1)
Entry from Alexandria: a relaxed HgRhN2O crystal (GGA-PBE).

Cell lengths 4.195, 4.195, 4.266 Å; angles 90.00, 90.00, 90.00 degrees
Last column: magnetic moment on the atom in μB.
Sites, in units of the cell vectors:
Rh: 0.500 0.500 0.500  2.11
Hg: 0.000 0.000 0.000  0.09
O: 0.000 0.000 0.500  0.37
N: 0.000 0.500 0.000  0.91
N: 0.500 0.000 0.000  0.91

Output
Its space group is P4/mmm (123). As for the total energy: -17.72 eV per cell. The magnetic moment is 5.23 μB/f.u.

(2)
Entry from Alexandria: a relaxed H2PbF4 crystal (GGA-PBE).

Cell lengths 5.186, 4.967, 8.289 Å; angles 109.50, 113.16, 73.00 degrees
Sites, in units of the cell vectors:
H: 0.699 0.501 0.864
H: 0.570 0.943 0.360
H: 0.599 0.350 0.144
H: 0.118 0.260 0.675
Pb: 0.205 0.587 0.433
Pb: 0.084 0.941 0.950
F: 0.850 0.324 0.172
F: 0.366 0.383 0.120
F: 0.035 0.515 0.654
F: 0.713 0.255 0.793
F: 0.338 0.980 0.356
F: 0.198 0.046 0.699
F: 0.683 0.743 0.927
F: 0.791 0.922 0.356

Output
As for the energy above the most stable polymorph in this dataset: 0.0 meV per atom. Its space group is P1 (1). The magnetic moment is 0.00 μB/f.u.

(3)
Entry from Alexandria: a relaxed Zr12Zn3Cd crystal (GGA-PBE).

Cell lengths 4.382, 4.382, 17.549 Å; angles 90.00, 90.00, 90.00 degrees
Sites, in units of the cell vectors:
Zr: 0.500 0.500 0.000
Zr: 0.500 0.500 0.253
Zr: 0.500 0.500 0.500
Zr: 0.500 0.500 0.747
Zr: 0.500 0.000 0.130
Zr: 0.500 0.000 0.377
Zr: 0.500 0.000 0.623
Zr: 0.500 0.000 0.870
Zr: 0.000 0.500 0.130
Zr: 0.000 0.500 0.377
Zr: 0.000 0.500 0.623
Zr: 0.000 0.500 0.870
Zn: 0.000 0.000 0.253
Zn: 0.000 0.000 0.500
Zn: 0.000 0.000 0.747
Cd: 0.000 0.000 0.000

Output
The energy of formation is -1.87 eV/f.u. Its space group is P4/mmm (123). The magnetic moment is 0.00 μB/f.u.

For reference, D(E_F) by record: 0.6198 0.0000 1.0343 states/eV/atom.